*one*
A relaxed Dy5Th2Sc2 crystal, computed with PBE.

a = 6.0616 Å, b = 11.4706 Å, c = 10.2869 Å
α = 123.89°, β = 107.14°, γ = 90.00°
Atoms (fractional coordinates):
Dy 0.3963 0.9645 0.2965
Sc 0.6824 0.2004 0.2716
Dy 0.8010 0.8656 0.1039
Dy 0.1990 0.7617 0.8961
Dy 0.9980 0.0672 0.5000
Sc 0.3176 0.9288 0.7284
Th 0.5000 0.5638 0.0000
Dy 0.1971 0.2617 0.8961
Dy 0.0020 0.5672 0.5000
Dy 0.4002 0.4645 0.2965
Dy 0.6037 0.6680 0.7035
Th 0.2953 0.3159 0.5000
Th 0.0000 0.0638 0.0000
Dy 0.8029 0.3656 0.1039
Th 0.7047 0.8159 0.5000
Sc 0.9109 0.4288 0.7284
Sc 0.0891 0.7004 0.2716
Dy 0.5998 0.1680 0.7035

## Properties
- Spin magnetization: 0.0 μB per formula unit


*two*
A relaxed Dy5Th2Sc2 crystal, computed with PBE.

a = 13.6680 Å, b = 5.6133 Å, c = 9.1451 Å
α = 107.87°, β = 122.87°, γ = 90.00°
Atoms (fractional coordinates):
Dy 0.0754 0.7348 0.5996
Th 0.2228 0.2089 0.5558
Dy 0.4592 0.6310 0.3240
Dy 0.7062 0.8349 0.7545
Dy 0.1517 0.3768 0.8957
Th 0.5000 0.3105 0.0000
Th 0.0000 0.9351 0.0000
Sc 0.3990 0.7848 0.6320
Dy 0.8483 0.4811 0.1043
Sc 0.1421 0.5679 0.2649
Dy 0.9246 0.1352 0.4004
Sc 0.6010 0.1528 0.3680
Dy 0.2938 0.0804 0.2455
Dy 0.3563 0.8082 0.9416
Dy 0.6437 0.8666 0.0584
Th 0.7772 0.6532 0.4442
Sc 0.8579 0.3030 0.7351
Dy 0.5408 0.3070 0.6760

## Properties
- Spin magnetization: 0.0 μB per formula unit


Energies relative to the most stable structure, in meV per atom: *one* 98; *two* 0.


*one*
A relaxed Dy2Th2Sc5 crystal, computed with PBE.

a = 8.3490 Å, b = 8.5288 Å, c = 9.4448 Å
α = 116.84°, β = 116.23°, γ = 90.00°
Atoms (fractional coordinates):
Dy 0.6322 0.1181 0.2520
Sc 0.4832 0.4758 0.2984
Sc 0.9198 0.5548 0.5000
Th 0.0000 0.1375 0.0000
Th 0.2603 0.3903 0.5000
Th 0.7397 0.8903 0.5000
Dy 0.1198 0.6181 0.2520
Sc 0.7175 0.3577 0.0993
Sc 0.0802 0.0548 0.5000
Sc 0.3151 0.9758 0.2984
Dy 0.8802 0.3661 0.7480
Sc 0.5168 0.1774 0.7016
Sc 0.6849 0.6774 0.7016
Sc 0.8818 0.8577 0.0993
Dy 0.3678 0.8661 0.7480
Sc 0.1182 0.7584 0.9007
Sc 0.2825 0.2584 0.9007
Th 0.5000 0.6375 0.0000

## Properties
- Spin magnetization: 0.0 μB per formula unit


*two*
A relaxed Dy2Th2Sc5 crystal, computed with PBE.

a = 3.3297 Å, b = 7.6267 Å, c = 12.2307 Å
α = 121.12°, β = 97.78°, γ = 90.06°
Atoms (fractional coordinates):
Sc 0.0947 0.4566 0.1919
Th 0.4469 0.2392 0.8931
Dy 0.8145 0.7675 0.6282
Sc 0.6914 0.8472 0.3842
Th 0.5531 0.7608 0.1069
Sc 0.9053 0.5434 0.8081
Sc 0.3086 0.1528 0.6158
Dy 0.1855 0.2325 0.3718
Sc 0.0000 0.0000 0.0000

## Properties
- Spin magnetization: 0.0 μB per formula unit


Energies relative to the most stable structure, in meV per atom: *one* 38; *two* 0.


*one*
A relaxed Dy6ThSc crystal, computed with PBE.

a = 6.6876 Å, b = 6.4235 Å, c = 6.7036 Å
α = 89.25°, β = 60.13°, γ = 95.35°
Atoms (fractional coordinates):
Dy 0.5767 0.7553 0.9535
Dy 0.4233 0.2447 0.0465
Dy 0.4200 0.2459 0.5282
Sc 0.0000 0.0000 0.0000
Th 0.0000 0.5000 0.0000
Dy 0.9030 0.2355 0.5463
Dy 0.0970 0.7645 0.4537
Dy 0.5800 0.7541 0.4718

## Properties
- Spin magnetization: 0.0 μB per formula unit


*two*
A relaxed Dy6ThSc crystal, computed with PBE.

a = 4.9899 Å, b = 4.9899 Å, c = 9.8671 Å
α = 90.00°, β = 90.00°, γ = 90.00°
Atoms (fractional coordinates):
Th 0.0000 0.0000 0.5000
Dy 0.0000 0.5000 0.7532
Dy 0.5000 0.5000 0.0000
Sc 0.0000 0.0000 0.0000
Dy 0.0000 0.5000 0.2468
Dy 0.5000 0.5000 0.5000
Dy 0.5000 0.0000 0.2468
Dy 0.5000 0.0000 0.7532

## Properties
- Spin magnetization: 0.0 μB per formula unit


Energies relative to the most stable structure, in meV per atom: *one* 158; *two* 0.


*one*
A relaxed Dy6ThSc4 crystal, computed with PBE.

a = 6.3802 Å, b = 6.3802 Å, c = 9.3870 Å
α = 109.87°, β = 109.87°, γ = 90.00°
Atoms (fractional coordinates):
Dy 0.5000 0.0000 0.0000
Dy 0.0000 0.5000 0.0000
Dy 0.4888 0.8711 0.3599
Th 0.5000 0.5000 0.0000
Sc 0.3054 0.3054 0.2471
Sc 0.9416 0.9416 0.2471
Sc 0.6946 0.0584 0.7529
Sc 0.0584 0.6946 0.7529
Dy 0.8711 0.4888 0.3599
Dy 0.5112 0.5112 0.6401
Dy 0.1289 0.1289 0.6401

## Properties
- Spin magnetization: 0.0 μB per formula unit


*two*
A relaxed Dy6ThSc4 crystal, computed with PBE.

a = 5.4923 Å, b = 5.4603 Å, c = 24.8574 Å
α = 90.00°, β = 90.00°, γ = 120.19°
Atoms (fractional coordinates):
Th 0.1743 0.3487 0.7500
Sc 0.8358 0.6717 0.5425
Dy 0.5000 0.0000 0.5000
Dy 0.1589 0.3177 0.1790
Dy 0.8274 0.6547 0.0959
Sc 0.8358 0.6717 0.9575
Sc 0.1642 0.3283 0.4575
Dy 0.8411 0.6823 0.6790
Sc 0.5077 0.0153 0.6239
Sc 0.4923 0.9847 0.3761
Dy 0.5085 0.0171 0.7500
Dy 0.8274 0.6547 0.4041
Sc 0.1642 0.3283 0.0425
Dy 0.1726 0.3453 0.9041
Dy 0.1726 0.3453 0.5959
Dy 0.5000 0.0000 0.0000
Dy 0.8411 0.6823 0.8210
Sc 0.5077 0.0153 0.8761
Sc 0.4923 0.9847 0.1239
Th 0.8257 0.6513 0.2500
Dy 0.1589 0.3177 0.3210
Dy 0.4914 0.9829 0.2500

## Properties
- Spin magnetization: 0.0 μB per formula unit


Energies relative to the most stable structure, in meV per atom: *one* 206; *two* 0.


*one*
A relaxed Dy2ThSc crystal, computed with PBE.

a = 3.5092 Å, b = 3.5092 Å, c = 11.4545 Å
α = 81.19°, β = 81.19°, γ = 60.00°
Atoms (fractional coordinates):
Sc 0.0000 0.0000 0.0000
Th 0.5000 0.5000 0.5000
Dy 0.7482 0.7482 0.7555
Dy 0.2518 0.2518 0.2445

## Properties
- Spin magnetization: 0.0 μB per formula unit


*two*
A relaxed Dy2ThSc crystal, computed with PBE.

a = 5.5546 Å, b = 5.5546 Å, c = 5.5546 Å
α = 60.00°, β = 60.00°, γ = 60.00°
Atoms (fractional coordinates):
Sc 0.0000 0.0000 0.0000
Th 0.5000 0.5000 0.5000
Dy 0.7500 0.7500 0.7500
Dy 0.2500 0.2500 0.2500

## Properties
- Spin magnetization: 0.0 μB per formula unit


*three*
A relaxed Dy2ThSc crystal, computed with PBE.

a = 3.5240 Å, b = 3.5240 Å, c = 11.3318 Å
α = 81.05°, β = 81.05°, γ = 60.00°
Each line ends with the local moment (μB).
Atoms (fractional coordinates):
Dy 0.2479 0.2479 0.2563  0.01
Th 0.6662 0.6662 0.0014  0.00
Sc 0.5006 0.5006 0.4983  0.06
Dy 0.0853 0.0853 0.7440  0.02

## Properties
- Spin magnetization: 0.2 μB per formula unit


*four*
A relaxed Dy2ThSc crystal, computed with PBE.

a = 5.9301 Å, b = 3.5041 Å, c = 9.1552 Å
α = 125.00°, β = 121.85°, γ = 90.04°
Atoms (fractional coordinates):
Sc 0.5000 0.5000 0.0000
Dy 0.7432 0.7438 0.4955
Dy 0.2568 0.2562 0.5045
Th 0.0000 0.0000 0.0000

## Properties
- Spin magnetization: 0.0 μB per formula unit


Energies relative to the most stable structure, in meV per atom: *one* 24; *two* 167; *three* 0; *four* 9.


*one*
A relaxed DyTh2Sc4 crystal, computed with PBE.

a = 5.3555 Å, b = 3.6044 Å, c = 10.7372 Å
α = 99.66°, β = 90.00°, γ = 90.00°
Atoms (fractional coordinates):
Th 0.5000 0.0724 0.1449
Sc 0.5000 0.3025 0.6049
Dy 0.0000 0.5000 0.0000
Th 0.5000 0.9276 0.8551
Sc 0.0000 0.8180 0.6360
Sc 0.5000 0.6975 0.3951
Sc 0.0000 0.1820 0.3640

## Properties
- Spin magnetization: 0.0 μB per formula unit


*two*
A relaxed DyTh2Sc4 crystal, computed with PBE.

a = 3.3449 Å, b = 10.7459 Å, c = 22.0083 Å
α = 90.00°, β = 90.00°, γ = 89.71°
Atoms (fractional coordinates):
Sc 0.2484 0.7500 0.7610
Sc 0.7469 0.1171 0.4955
Th 0.2450 0.0689 0.6225
Sc 0.2484 0.2500 0.7390
Sc 0.2508 0.0001 0.2500
Th 0.7448 0.0690 0.1225
Dy 0.7492 0.7500 0.6271
Dy 0.7492 0.2500 0.8729
Sc 0.2468 0.6171 0.5045
Th 0.7448 0.5690 0.3775
Sc 0.7516 0.7500 0.2610
Th 0.2450 0.5689 0.8775
Sc 0.7492 0.9999 0.7500
Sc 0.2531 0.3829 0.9955
Th 0.2552 0.4310 0.6225
Sc 0.7492 0.4999 0.7500
Th 0.2552 0.9310 0.8775
Th 0.7550 0.4311 0.1225
Th 0.7550 0.9311 0.3775
Sc 0.2531 0.8829 0.5045
Dy 0.2508 0.7500 0.1271
Sc 0.2468 0.1171 0.9955
Sc 0.2508 0.5001 0.2500
Sc 0.7532 0.8829 0.0045
Sc 0.7532 0.3829 0.4955
Sc 0.7516 0.2500 0.2390
Dy 0.2508 0.2500 0.3729
Sc 0.7469 0.6171 0.0045

## Properties
- Spin magnetization: 0.0 μB per formula unit


Energies relative to the most stable structure, in meV per atom: *one* 55; *two* 0.


*one*
A relaxed DyTh6Sc2 crystal, computed with PBE.

a = 5.5882 Å, b = 11.7889 Å, c = 11.7889 Å
α = 48.47°, β = 76.29°, γ = 76.29°
Atoms (fractional coordinates):
Th 0.6660 0.1672 0.0011
Th 0.8335 0.3328 0.4990
Th 0.5770 0.9228 0.4230
Th 0.1665 0.6672 0.5010
Th 0.8340 0.9989 0.8328
Dy 0.7500 0.7500 0.2500
Th 0.6665 0.5010 0.6672
Th 0.3340 0.8328 0.9989
Th 0.3335 0.4990 0.3328
Th 0.9230 0.5770 0.0772
Th 0.0770 0.4230 0.9228
Th 0.4230 0.0772 0.5770
Sc 0.9998 0.8330 0.6671
Dy 0.2500 0.2500 0.7500
Sc 0.4998 0.6671 0.8330
Sc 0.5002 0.3329 0.1670
Th 0.1660 0.0011 0.1672
Sc 0.0002 0.1670 0.3329

## Properties
- Spin magnetization: 0.0 μB per formula unit


*two*
A relaxed DyTh6Sc2 crystal, computed with PBE.

a = 3.4911 Å, b = 3.4911 Å, c = 26.3239 Å
α = 90.00°, β = 90.00°, γ = 120.00°
Atoms (fractional coordinates):
Th 0.3333 0.6667 0.5637
Th 0.6667 0.3333 0.8869
Sc 0.6667 0.3333 0.6684
Th 0.3333 0.6667 0.2251
Th 0.6667 0.3333 0.1131
Dy 0.3333 0.6667 0.0000
Th 0.3333 0.6667 0.4363
Th 0.3333 0.6667 0.7749
Sc 0.6667 0.3333 0.3316

## Properties
- Spin magnetization: 0.0 μB per formula unit


Energies relative to the most stable structure, in meV per atom: *one* 35; *two* 0.


*one*
A relaxed DyTh2Sc2 crystal, computed with PBE.

a = 6.1216 Å, b = 6.1216 Å, c = 10.9049 Å
α = 97.14°, β = 97.14°, γ = 123.85°
Atoms (fractional coordinates):
Sc 0.6250 0.3750 0.2500
Dy 0.7500 0.2500 0.5000
Sc 0.6250 0.3750 0.7500
Th 0.1596 0.8404 0.0000
Th 0.0904 0.9096 0.5000
Th 0.4096 0.5904 0.5000
Sc 0.6250 0.8750 0.2500
Dy 0.5000 0.5000 0.0000
Sc 0.1250 0.3750 0.7500
Th 0.8404 0.1596 0.0000

## Properties
- Spin magnetization: 0.0 μB per formula unit


*two*
A relaxed DyTh2Sc2 crystal, computed with PBE.

a = 6.0402 Å, b = 6.8698 Å, c = 16.1654 Å
α = 90.00°, β = 59.65°, γ = 90.00°
Atoms (fractional coordinates):
Dy 0.3467 0.1210 0.2998
Sc 0.3531 0.6262 0.2997
Sc 0.0554 0.3706 0.9013
Th 0.7430 0.1250 0.5023
Th 0.7570 0.6250 0.4977
Th 0.2570 0.8750 0.4977
Dy 0.1533 0.6210 0.7002
Th 0.0411 0.8742 0.9024
Th 0.2430 0.3750 0.5023
Sc 0.1469 0.1262 0.7003
Sc 0.5554 0.1294 0.9013
Th 0.9589 0.1258 0.0976
Sc 0.4446 0.8706 0.0987
Sc 0.6469 0.3738 0.7003
Th 0.5411 0.6258 0.9024
Dy 0.8467 0.3790 0.2998
Sc 0.9446 0.6294 0.0987
Sc 0.8531 0.8738 0.2997
Dy 0.6533 0.8790 0.7002
Th 0.4589 0.3742 0.0976

## Properties
- Spin magnetization: 0.0 μB per formula unit


Energies relative to the most stable structure, in meV per atom: *one* 510; *two* 0.